First-principles (PBE with a Hubbard U) data for K2ZrVO5 after structural relaxation, as listed in Alexandria via LeMat-Bulk.

As for the total magnetization: 1.00 μB per formula unit. The total energy is -7.121 eV/atom.

The space group is Cmc2_1 (No. 36) and the conventional cell measures 3.340, 12.877 and 13.153 Å, with angles of 90.00, 90.00 and 90.00 degrees. Symmetry generates all atoms from K at (0.000, 0.073, 0.000), K at (0.000, 0.171, 0.626), Zr at (0.000, 0.224, 0.357), V at (0.000, 0.478, 0.769), O at (0.000, 0.047, 0.340), O at (0.000, 0.276, 0.960), O at (0.000, 0.320, 0.758), O at (0.000, 0.374, 0.321) and O at (0.000, 0.494, 0.142).